Below is a geometry-optimized Tl2VCuO4 structure, with properties calculated at the PBE with a Hubbard U level.

Cell lengths 4.9792, 11.6816, 19.9731 Å; angles 90.00, 90.00, 90.00 degrees
Closest atoms and distances in Å follow each position.
Space group Fddd (No. 70, origin choice 2)
Symmetry-distinct sites (fractional):
Tl  0.1250  0.1250  0.2959  8 O 3.01-3.35
V  0.1250  0.1250  0.6250  4 O 1.77
Cu  0.1250  0.1250  0.1250  4 O 2.05
O  0.0819  0.2859  0.8252  1 V 1.77

Computed properties:
total energy = -360.17 eV/cell